Record 1
An optimized crystal structure of Rb2SrGaSb2, computed with PBE.

Output
* density: 3.93 Mg/m³
* space-group type: No. 72
* formation energy without anion corrections: -0.49 eV per atom

Cell: 7.472 7.588 10.055 Å, 112.17 111.81 90.00°
Element x y z (fractional)
Rb (0.450, 0.179, 0.358)
Rb (0.550, 0.821, 0.642)
Rb (0.092, 0.321, 0.642)
Rb (0.908, 0.679, 0.358)
Sr (0.000, 0.750, 0.000)
Sr (0.000, 0.250, 0.000)
Ga (0.500, 0.750, 0.000)
Ga (0.500, 0.250, 0.000)
Sb (0.816, 0.097, 0.195)
Sb (0.379, 0.597, 0.195)
Sb (0.621, 0.403, 0.805)
Sb (0.184, 0.903, 0.805)


Record 2
An optimized crystal structure of BeTlP2, computed with PBE.

Output
* density: 5.87 Mg/m³
* space-group type: No. 65
* E_form: 0.75 eV/atom
* distance to the lowest polymorph of the same formula: 689.5 meV/atom

Cell: 4.699 4.699 4.067 Å, 90.00 90.00 119.83°
Element x y z (fractional)
P (0.000, 0.000, 0.000)
P (0.500, 0.500, 0.000)
Tl (0.500, 0.000, 0.500)
Be (0.000, 0.500, 0.500)


Record 3
An optimized crystal structure of Ce2TmTc2C4, computed with PBE.

Output
* density: 8.63 Mg/m³
* space-group type: No. 12
* E_form: -0.11 eV/atom

Cell: 3.389 7.024 6.030 Å, 106.18 90.00 103.96°
Element x y z (fractional)
Ce (0.871, 0.742, 0.469)
Ce (0.129, 0.258, 0.531)
Tm (0.000, 0.000, 0.000)
Tc (0.320, 0.641, 0.992)
Tc (0.680, 0.359, 0.008)
C (0.774, 0.547, 0.779)
C (0.226, 0.453, 0.221)
C (0.452, 0.905, 0.246)
C (0.548, 0.095, 0.754)


Record 4
An optimized crystal structure of LaTlZnPb, computed with PBE.

Output
* density: 9.23 Mg/m³
* space-group type: No. 216
* E_form: -0.22 eV/atom

Cell: 5.391 5.391 5.391 Å, 60.00 60.00 60.00°
Element x y z (fractional)
Pb (0.250, 0.250, 0.250)
Tl (0.500, 0.500, 0.500)
Zn (0.000, 0.000, 0.000)
La (0.750, 0.750, 0.750)


Record 5
An optimized crystal structure of La2DyAgSe5, computed with PBE.

Output
* density: 6.68 Mg/m³
* space-group type: No. 36
* formation energy without anion corrections: -1.65 eV per atom

Cell: 4.207 9.089 12.605 Å, 90.00 90.00 103.38°
Element x y z (fractional)
La (0.875, 0.751, 0.808)
La (0.111, 0.221, 0.686)
La (0.125, 0.249, 0.308)
La (0.889, 0.779, 0.186)
Dy (0.804, 0.609, 0.509)
Dy (0.196, 0.391, 0.009)
Ag (0.556, 0.113, 0.958)
Ag (0.444, 0.887, 0.458)
Se (0.358, 0.717, 0.001)
Se (0.694, 0.389, 0.848)
Se (0.497, 0.995, 0.771)
Se (0.287, 0.575, 0.667)
Se (0.954, 0.908, 0.576)
Se (0.642, 0.283, 0.501)
Se (0.306, 0.611, 0.348)
Se (0.503, 0.005, 0.271)
Se (0.713, 0.425, 0.167)
Se (0.046, 0.092, 0.076)


Record 6
An optimized crystal structure of LiTaNi2, computed with PBE.

Output
* density: 9.74 Mg/m³
* space-group type: No. 10
* E_form: -0.10 eV/atom

Cell: 3.228 2.749 6.473 Å, 64.98 90.00 90.00°
Element x y z (fractional)
Li (0.500, 0.750, 0.750)
Ni (0.000, 0.017, 0.982)
Ni (0.000, 0.483, 0.518)
Ta (0.500, 0.250, 0.250)


Record 7
An optimized crystal structure of HfTiMo2Cl, computed with PBE.

Output
* density: 6.82 Mg/m³
* space-group type: No. 123
* formation energy without anion corrections: 1.46 eV per atom

Cell: 4.536 4.536 5.369 Å, 90.00 90.00 90.00°
Element x y z (fractional)
Mo (0.000, 0.500, 0.000)
Mo (0.500, 0.000, 0.000)
Cl (0.500, 0.500, 0.500)
Hf (0.000, 0.000, 0.500)
Ti (0.000, 0.000, 0.000)


Record 8
An optimized crystal structure of ScBe2, computed with PBE.

Output
* density: 2.54 Mg/m³
* space-group type: No. 71
* E_form: 0.00 eV/atom

Cell: 5.516 5.516 5.516 Å, 142.63 124.79 68.57°
Element x y z (fractional)
Sc (0.176, 0.676, 0.500)
Sc (0.824, 0.324, 0.500)
Be (0.707, 0.000, 0.707)
Be (0.394, 0.394, 0.000)
Be (0.606, 0.606, 0.000)
Be (0.293, 0.000, 0.293)


Record 9
An optimized crystal structure of NbPdO2, computed with PBE.

Output
* density: 6.77 Mg/m³
* space-group type: No. 122
* distance to the lowest polymorph of the same formula: 233.5 meV/atom
* formation energy without anion corrections: -1.21 eV per atom

Cell: 4.401 4.401 6.637 Å, 70.64 70.64 90.00°
Element x y z (fractional)
Nb (0.500, 0.500, 0.000)
Nb (0.250, 0.750, 0.500)
O (0.542, 0.125, 0.250)
O (0.208, 0.625, 0.250)
O (0.375, 0.458, 0.750)
O (0.875, 0.792, 0.750)
Pd (0.000, 0.000, 0.000)
Pd (0.750, 0.250, 0.500)


Record 10
An optimized crystal structure of Pr2InHg6, computed with PBE.

Output
* density: 11.48 Mg/m³
* space-group type: No. 164
* E_form: -0.32 eV/atom
* distance to the lowest polymorph of the same formula: 0.0 meV/atom

Cell: 5.163 5.163 10.027 Å, 89.98 90.00 120.00°
Element x y z (fractional)
Pr (0.333, 0.666, 0.725)
Pr (0.667, 0.334, 0.275)
In (0.000, 0.000, 0.500)
Hg (0.667, 0.333, 0.932)
Hg (0.333, 0.667, 0.068)
Hg (0.000, 0.000, 0.154)
Hg (0.333, 0.667, 0.394)
Hg (0.000, 0.000, 0.846)
Hg (0.667, 0.333, 0.606)


Record 11
An optimized crystal structure of Cs3PPd, computed with PBE.

Output
* density: 3.22 Mg/m³
* space-group type: No. 12
* E_form: -0.19 eV/atom

Cell: 6.934 6.934 14.794 Å, 124.45 92.37 72.85°
Element x y z (fractional)
Cs (0.928, 0.036, 0.347)
Cs (0.311, 0.419, 0.347)
Cs (0.689, 0.581, 0.653)
Cs (0.712, 0.405, 0.117)
Cs (0.072, 0.964, 0.653)
Cs (0.288, 0.595, 0.883)
P (0.723, 0.710, 0.433)
P (0.277, 0.290, 0.567)
Pd (0.543, 0.062, 0.604)
Pd (0.457, 0.938, 0.396)


Record 12
An optimized crystal structure of Ce2ZrNpN6, computed with PBE.

Output
* density: 8.20 Mg/m³
* space-group type: No. 14
* formation energy without anion corrections: -1.30 eV per atom

Cell: 5.762 5.870 8.290 Å, 90.00 90.24 90.00°
Element x y z (fractional)
Ce (0.010, 0.953, 0.247)
Ce (0.510, 0.547, 0.747)
Ce (0.990, 0.047, 0.753)
Ce (0.490, 0.453, 0.253)
Zr (0.500, 0.000, 0.000)
Zr (0.000, 0.500, 0.500)
Np (0.500, 0.000, 0.500)
Np (0.000, 0.500, 0.000)
N (0.294, 0.688, 0.062)
N (0.794, 0.812, 0.562)
N (0.706, 0.312, 0.938)
N (0.206, 0.188, 0.438)
N (0.307, 0.700, 0.434)
N (0.807, 0.800, 0.934)
N (0.693, 0.300, 0.566)
N (0.193, 0.200, 0.066)
N (0.878, 0.546, 0.247)
N (0.378, 0.954, 0.747)
N (0.122, 0.454, 0.753)
N (0.622, 0.046, 0.253)